Entry 1:
A relaxed AlV2Ga crystal, computed with GGA-PBE.

POSCAR file:
```
AlV2Ga
1.0
2.768 0.000 0.000
-1.384 2.397 0.000
0.000 0.000 26.225
Al V Ga
3 6 3
direct
0.000 0.000 0.000
0.333 0.667 0.667
0.667 0.333 0.333
0.000 0.000 0.250
0.000 0.000 0.417
0.333 0.667 0.083
0.333 0.667 0.917
0.667 0.333 0.583
0.667 0.333 0.750
0.000 0.000 0.833
0.333 0.667 0.500
0.667 0.333 0.167
```

Results
The value obtained for the total energy is -76.3 eV per cell. Its space group is No. 160. Its energy of formation from the pure elements is -0.110 eV/atom.



Entry 2:
A relaxed Ni2OsCl crystal, computed with GGA-PBE.

POSCAR file:
```
Ni2OsCl
1.0
4.188 0.000 0.000
0.000 4.188 0.000
0.000 0.000 5.906
Ni Os Cl
4 2 2
direct
0.000 0.000 0.000
0.000 0.500 0.250
0.500 0.000 0.750
0.500 0.500 0.500
0.000 0.500 0.750
0.500 0.000 0.250
0.000 0.000 0.500
0.500 0.500 0.000
```

Results
The value obtained for the total energy is -41.7 eV per cell. Its space group is No. 119. Its raw formation energy is 0.9505 eV/atom.